(1)
Material: CeAl2
Method: DFT, PBE
State: relaxed

As for the energy: -14.054 eV per formula unit. Its calculated volume is 127.06 Å³/cell. For the total moment, the calculation gives 1.87 μB/cell. As for the energy of formation from the pure elements: -0.212 eV/atom.

The space group is I4/mmm (No. 139) and the conventional cell measures 3.267, 3.267 and 11.902 Å, with angles of 90.00, 90.00 and 90.00 degrees. The inequivalent atoms are Ce at (0.000, 0.000, 0.000) and Al at (0.000, 0.000, 0.313).



(2)
Material: Ce8Al3
Method: DFT, PBE
State: relaxed

As for the energy: -60.533 eV per formula unit. Its calculated volume is 509.63 Å³/cell. For the total moment, the calculation gives 0.06 μB/cell. As for the energy of formation from the pure elements: -0.167 eV/atom.

The space group is Immm (No. 71) and the conventional cell measures 2.973, 5.122 and 33.470 Å, with angles of 90.00, 90.00 and 90.00 degrees. The inequivalent atoms are Ce at (0.000, 0.000, 0.045), Ce at (0.000, 0.000, 0.221), Ce at (0.000, 0.500, 0.088), Ce at (0.000, 0.500, 0.180), Al at (0.000, 0.000, 0.500) and Al at (0.000, 0.500, 0.367).



(3)
Material: CeAl6
Method: DFT, PBE
State: relaxed

As for the energy: -29.638 eV per formula unit. Its calculated volume is 279.12 Å³/cell. For the total moment, the calculation gives 1.56 μB/cell. As for the energy of formation from the pure elements: -0.178 eV/atom.

The space group is P4/nbm (No. 125, origin choice 2) and the conventional cell measures 5.921, 5.921 and 7.962 Å, with angles of 90.00, 90.00 and 90.00 degrees. The inequivalent atoms are Ce at (0.250, 0.750, 0.000), Al at (0.073, 0.573, 0.355) and Al at (0.250, 0.250, 0.160).



(4)
Material: Ce4Al
Method: DFT, PBE
State: relaxed

As for the energy: -24.789 eV per formula unit. Its calculated volume is 178.04 Å³/cell. For the total moment, the calculation gives 5.25 μB/cell. As for the energy of formation from the pure elements: 0.538 eV/atom.

The space group is Pm-3m (No. 221) and the conventional cell measures 5.626, 5.626 and 5.626 Å, with angles of 90.00, 90.00 and 90.00 degrees. The inequivalent atoms are Ce at (0.000, 0.000, 0.000), Ce at (0.000, 0.500, 0.500) and Al at (0.500, 0.500, 0.500).



(5)
Material: Ce3Al2
Method: DFT, PBE
State: relaxed

As for the energy: -25.610 eV per formula unit. Its calculated volume is 388.44 Å³/cell. For the total moment, the calculation gives 7.10 μB/cell. As for the energy of formation from the pure elements: -0.065 eV/atom.

The space group is R-3m (No. 166, hexagonal axes) and the conventional cell measures 6.2892, 6.2892 and 11.3395 Å, with angles of 90.00, 90.00 and 120.00 degrees. The inequivalent atoms are Ce at (0.0000, 0.5000, 0.0000) and Al at (0.0000, 0.0000, 0.1101).



(6)
Material: Ce2Al7
Method: DFT, PBE
State: relaxed

As for the energy: -40.900 eV per formula unit. Its calculated volume is 1072.22 Å³/cell. For the total moment, the calculation gives 8.96 μB/cell. As for the energy of formation from the pure elements: -0.315 eV/atom.

The space group is R-3m (No. 166, hexagonal axes) and the conventional cell measures 5.5836, 5.5836 and 39.7125 Å, with angles of 90.00, 90.00 and 120.00 degrees. The inequivalent atoms are Ce at (0.0000, 0.0000, 0.0518), Ce at (0.0000, 0.0000, 0.1505), Al at (0.0000, 0.0000, 0.2787), Al at (0.0000, 0.0000, 0.3888), Al at (0.0000, 0.0000, 0.5000), Al at (0.0000, 0.5000, 0.0000) and Al at (0.0054, 0.5027, 0.8899).



(7)
Material: CeAl5
Method: DFT, PBE
State: relaxed

As for the energy: -25.815 eV per formula unit. Its calculated volume is 236.05 Å³/cell. For the total moment, the calculation gives 0.98 μB/cell. As for the energy of formation from the pure elements: -0.195 eV/atom.

The space group is Immm (No. 71) and the conventional cell measures 4.471, 6.248 and 8.450 Å, with angles of 90.00, 90.00 and 90.00 degrees. The inequivalent atoms are Ce at (0.000, 0.000, 0.000), Al at (0.000, 0.228, 0.337) and Al at (0.000, 0.500, 0.000).



(8)
Material: CeAl2
Method: DFT, PBE
State: relaxed

As for the energy: -14.802 eV per formula unit. Its calculated volume is 501.76 Å³/cell. For the total moment, the calculation gives 7.37 μB/cell. As for the energy of formation from the pure elements: -0.461 eV/atom.

The space group is Fd-3m (No. 227, origin choice 2) and the conventional cell measures 7.946, 7.946 and 7.946 Å, with angles of 90.00, 90.00 and 90.00 degrees. The inequivalent atoms are Ce at (0.125, 0.125, 0.125) and Al at (0.000, 0.000, 0.500).



(9)
Material: Ce8Al
Method: DFT, PBE
State: relaxed

As for the energy: -51.564 eV per formula unit. Its calculated volume is 452.64 Å³/cell. For the total moment, the calculation gives 0.00 μB/cell. As for the energy of formation from the pure elements: -0.039 eV/atom.

The space group is I4/mmm (No. 139) and the conventional cell measures 9.997, 9.997 and 4.529 Å, with angles of 90.00, 90.00 and 90.00 degrees. The inequivalent atoms are Ce at (0.000, 0.325, 0.000), Ce at (0.167, 0.167, 0.500) and Al at (0.000, 0.000, 0.000).



(10)
Material: CeAl6
Method: DFT, PBE
State: relaxed

As for the energy: -25.541 eV per formula unit. Its calculated volume is 362.92 Å³/cell. For the total moment, the calculation gives 2.21 μB/cell. As for the energy of formation from the pure elements: 0.407 eV/atom.

The space group is Im-3m (No. 229) and the conventional cell measures 7.133, 7.133 and 7.133 Å, with angles of 90.00, 90.00 and 90.00 degrees. The inequivalent atoms are Ce at (0.000, 0.000, 0.000) and Al at (0.000, 0.250, 0.500).



(11)
Material: Ce4Al
Method: DFT, PBE
State: relaxed

As for the energy: -24.912 eV per formula unit. Its calculated volume is 608.04 Å³/cell. For the total moment, the calculation gives 12.79 μB/cell. As for the energy of formation from the pure elements: 0.513 eV/atom.

The space group is P4/mbm (No. 127) and the conventional cell measures 10.878, 10.878 and 5.138 Å, with angles of 90.00, 90.00 and 90.00 degrees. The inequivalent atoms are Ce at (0.000, 0.000, 0.244), Ce at (0.093, 0.224, 0.500), Ce at (0.107, 0.607, 0.500) and Al at (0.090, 0.410, 0.000).



(12)
Material: Ce3Al2
Method: DFT, PBE
State: relaxed

As for the energy: -26.372 eV per formula unit. Its calculated volume is 240.80 Å³/cell. For the total moment, the calculation gives 3.49 μB/cell. As for the energy of formation from the pure elements: -0.217 eV/atom.

The space group is P4/m (No. 83) and the conventional cell measures 7.335, 7.335 and 4.475 Å, with angles of 90.00, 90.00 and 90.00 degrees. The inequivalent atoms are Ce at (0.000, 0.000, 0.000), Ce at (0.095, 0.682, 0.500), Ce at (0.500, 0.500, 0.500) and Al at (0.212, 0.398, 0.000).